Entry from Alexandria via LeMat-Bulk: a crystal of SrTiF3 relaxed with PBEsol (meta-GGA SCAN).

The structure in POSCAR format:
```
SrTiF3
1.0
4.632 0.000 0.000
0.000 4.632 0.000
0.000 0.000 4.632
Sr F Ti
1 3 1
Direct
0.000 0.000 0.000 Sr
0.000 0.500 0.000 F
0.000 0.000 0.500 F
0.500 0.000 0.000 F
0.500 0.500 0.500 Ti
```

As for the raw formation energy: -2.40 eV/atom. The value obtained for the calculated volume is 99 Å³ per cell. Its total magnetization is 2.89 μB/cell. The space-group type is No. 221. The total energy is -12.181 eV per atom.